1.
First-principles (PBE) data for a relaxed structure of DyAlI, as listed in the Alexandria database.

```
12
Lattice="4.449 0.000 0.000 0.000 22.558 0.000 0.000 0.000 4.222" Properties=species:S:1:pos:R:3 pbc="T T T"
Dy 0.000 1.578 1.055
Dy 0.000 20.980 3.166
Dy 2.224 9.701 3.166
Dy 2.224 12.857 1.055
Al 0.000 10.597 1.055
Al 0.000 11.961 3.166
Al 2.224 0.682 3.166
Al 2.224 21.876 1.055
I 0.000 3.805 3.166
I 0.000 18.753 1.055
I 2.224 7.474 1.055
I 2.224 15.084 3.166
```

- M_tot (μB per cell) = 0.0
- space group = Cmcm
- raw formation energy (eV per atom) = -0.6766
- electronic total energy (eV/cell) = -47.70


2.
First-principles (PBE) data for a relaxed structure of K2PaSe4, as listed in the Alexandria database.

```
14
Lattice="8.230 0.000 0.000 0.000 13.450 0.000 0.000 0.000 4.395" Properties=species:S:1:pos:R:3 pbc="T T T"
K 0.590 2.407 0.000
K 3.525 9.132 0.000
K 4.705 4.318 0.000
K 7.640 11.043 0.000
Pa 0.000 6.725 2.197
Pa 4.115 0.000 2.197
Se 1.056 9.187 2.197
Se 1.695 6.061 0.000
Se 2.420 12.786 0.000
Se 3.058 2.462 2.197
Se 5.171 10.988 2.197
Se 5.810 0.664 0.000
Se 6.535 7.389 0.000
Se 7.173 4.263 2.197
```

- M_tot (μB per cell) = 0.0
- space group = Pbam
- raw formation energy (eV per atom) = -1.1794
- electronic total energy (eV/cell) = -67.77
- ΔE to the lowest computed polymorph (eV per atom) = 0.000